1.
Below is an optimized crystal structure of TaFe4Ir, with properties calculated at the PBEsol level. Values from VASP.

## Properties
SG = F-43m, No. 216
Final energy = -59.59 eV per cell
Energy of formation = -227 meV per atom

Quantum ESPRESSO input file:
```
&SYSTEM
  ibrav = 0, nat = 6, ntyp = 3
/
ATOMIC_SPECIES
Ta 180.95 Ta.upf
Fe 55.84 Fe.upf
Ir 192.22 Ir.upf
ATOMIC_POSITIONS crystal
Ta 0.0000 0.0000 0.0000
Fe 0.1254 0.6249 0.6249
Fe 0.6249 0.1254 0.6249
Fe 0.6249 0.6249 0.1254
Fe 0.6249 0.6249 0.6249
Ir 0.2500 0.2500 0.2500
CELL_PARAMETERS angstrom
0.0000 3.3054 3.3054
3.3054 0.0000 3.3054
3.3054 3.3054 0.0000
```



2.
Below is an optimized crystal structure of BeNiRh2, with properties calculated at the PBEsol level. Values from VASP.

## Properties
SG = P4mm, No. 99
Final energy = -27.31 eV per cell
Energy of formation = -218 meV per atom

Quantum ESPRESSO input file:
```
&SYSTEM
  ibrav = 0, nat = 4, ntyp = 3
/
ATOMIC_SPECIES
Be 9.01 Be.upf
Ni 58.69 Ni.upf
Rh 102.91 Rh.upf
ATOMIC_POSITIONS crystal
Be 0.0000 0.0000 0.0000
Ni 0.5000 0.5000 0.1937
Rh 0.0000 0.0000 0.4737
Rh 0.5000 0.5000 0.7723
CELL_PARAMETERS angstrom
2.6667 0.0000 0.0000
0.0000 2.6667 0.0000
0.0000 0.0000 6.2995
```



3.
Below is an optimized crystal structure of Cu7As, with properties calculated at the PBEsol level. Values from VASP.

## Properties
SG = Fm-3m, No. 225
Final energy = -35.17 eV per cell
Energy of formation = 34 meV per atom

Quantum ESPRESSO input file:
```
&SYSTEM
  ibrav = 0, nat = 8, ntyp = 2
/
ATOMIC_SPECIES
Cu 63.55 Cu.upf
As 74.92 As.upf
ATOMIC_POSITIONS crystal
Cu 0.0000 0.0000 0.0000
Cu 0.0000 0.0000 0.5000
Cu 0.0000 0.5000 0.0000
Cu 0.0000 0.5000 0.5000
Cu 0.5000 0.0000 0.0000
Cu 0.5000 0.0000 0.5000
Cu 0.5000 0.5000 0.0000
As 0.5000 0.5000 0.5000
CELL_PARAMETERS angstrom
0.0000 3.6223 3.6223
3.6223 0.0000 3.6223
3.6223 3.6223 0.0000
```



4.
Below is an optimized crystal structure of Sc2ZnIr, with properties calculated at the PBEsol level. Values from VASP.

## Properties
ΔE to the lowest computed polymorph = 0.000 eV per atom
SG = Fm-3m, No. 225
Final energy = -27.49 eV per cell
Energy of formation = -718 meV per atom

Quantum ESPRESSO input file:
```
&SYSTEM
  ibrav = 0, nat = 4, ntyp = 3
/
ATOMIC_SPECIES
Sc 44.96 Sc.upf
Zn 65.41 Zn.upf
Ir 192.22 Ir.upf
ATOMIC_POSITIONS crystal
Sc 0.2500 0.2500 0.2500
Sc 0.7500 0.7500 0.7500
Zn 0.0000 0.0000 0.0000
Ir 0.5000 0.5000 0.5000
CELL_PARAMETERS angstrom
0.0000 3.2340 3.2340
3.2340 0.0000 3.2340
3.2340 3.2340 0.0000
```



5.
Below is an optimized crystal structure of TaNi2W, with properties calculated at the PBEsol level. Values from VASP.

## Properties
SG = I4/mmm, No. 139
Final energy = -38.99 eV per cell
Energy of formation = -79 meV per atom

Quantum ESPRESSO input file:
```
&SYSTEM
  ibrav = 0, nat = 4, ntyp = 3
/
ATOMIC_SPECIES
Ta 180.95 Ta.upf
Ni 58.69 Ni.upf
W 183.84 W.upf
ATOMIC_POSITIONS crystal
Ta 0.0000 0.0000 0.0000
Ni 0.2500 0.7500 0.5000
Ni 0.7500 0.2500 0.5000
W 0.5000 0.5000 0.0000
CELL_PARAMETERS angstrom
-1.8933 1.8933 3.7309
1.8933 -1.8933 3.7309
1.8933 1.8933 -3.7309
```



6.
Below is an optimized crystal structure of KInGa3, with properties calculated at the PBEsol level. Values from VASP.

## Properties
SG = Pm-3m, No. 221
Final energy = -8.75 eV per cell
Energy of formation = 1077 meV per atom

Quantum ESPRESSO input file:
```
&SYSTEM
  ibrav = 0, nat = 5, ntyp = 3
/
ATOMIC_SPECIES
K 39.10 K.upf
In 114.82 In.upf
Ga 69.72 Ga.upf
ATOMIC_POSITIONS crystal
K 0.0000 0.0000 0.0000
In 0.5000 0.5000 0.5000
Ga 0.0000 0.0000 0.5000
Ga 0.0000 0.5000 0.0000
Ga 0.5000 0.0000 0.0000
CELL_PARAMETERS angstrom
5.5149 0.0000 0.0000
0.0000 5.5149 0.0000
0.0000 0.0000 5.5149
```



7.
Below is an optimized crystal structure of NiMoPt, with properties calculated at the PBEsol level. Values from VASP.

## Properties
ΔE to the lowest computed polymorph = 0.000 eV per atom
SG = Imm2, No. 44
Final energy = -25.70 eV per cell
Energy of formation = -271 meV per atom

Quantum ESPRESSO input file:
```
&SYSTEM
  ibrav = 0, nat = 3, ntyp = 3
/
ATOMIC_SPECIES
Ni 58.69 Ni.upf
Mo 95.94 Mo.upf
Pt 195.08 Pt.upf
ATOMIC_POSITIONS crystal
Ni 0.0000 0.0000 0.0000
Mo 0.3416 0.3416 0.0000
Pt 0.6690 0.6690 0.0000
CELL_PARAMETERS angstrom
-1.3474 1.8766 3.9891
1.3474 -1.8766 3.9891
1.3474 1.8766 -3.9891
```



8.
Below is an optimized crystal structure of Na3TlTe, with properties calculated at the PBEsol level. Values from VASP.

## Properties
SG = Pm-3m, No. 221
Final energy = -9.74 eV per cell

Quantum ESPRESSO input file:
```
&SYSTEM
  ibrav = 0, nat = 5, ntyp = 3
/
ATOMIC_SPECIES
Na 22.99 Na.upf
Tl 204.38 Tl.upf
Te 127.60 Te.upf
ATOMIC_POSITIONS crystal
Na 0.0000 0.0000 0.5000
Na 0.0000 0.5000 0.0000
Na 0.5000 0.0000 0.0000
Tl 0.0000 0.0000 0.0000
Te 0.5000 0.5000 0.5000
CELL_PARAMETERS angstrom
5.6203 0.0000 0.0000
0.0000 5.6203 0.0000
0.0000 0.0000 5.6203
```